No. 1
Density functional theory data (PBE) for RbUPbO5 after structural relaxation.

a = 6.6645 Å, b = 6.6645 Å, c = 8.3500 Å
α = 105.11°, β = 105.11°, γ = 106.55°
Closest atoms and distances in Å follow each position.
Atoms (fractional coordinates):
O: 0.2249 0.3271 0.5955  1 U 2.06, 1 Pb 2.24
Rb: 0.6773 0.3227 0.7500  7 O 2.97-2.98
O: 0.6729 0.7751 0.9045  1 U 2.06, 1 Pb 2.24
O: 0.9563 0.0437 0.7500  2 U 2.14
Rb: 0.3227 0.6773 0.2500  7 O 2.97-2.98
O: 0.7320 0.0957 0.4144  1 U 2.08, 1 Pb 2.25
Pb: 0.6892 0.3108 0.2500  4 O 2.24-2.25
U: 0.0000 0.0000 0.5000  6 O 2.06-2.14
U: 0.0000 0.0000 0.0000  6 O 2.06-2.14
O: 0.9043 0.2680 0.0856  1 U 2.08, 1 Pb 2.25
Pb: 0.3108 0.6892 0.7500  4 O 2.24-2.25
O: 0.0957 0.7320 0.9144  1 U 2.08, 1 Pb 2.25
O: 0.3271 0.2249 0.0955  1 U 2.06, 1 Pb 2.24
O: 0.2680 0.9043 0.5856  1 U 2.08, 1 Pb 2.25
O: 0.0437 0.9563 0.2500  2 U 2.14
O: 0.7751 0.6729 0.4045  1 U 2.06, 1 Pb 2.24

Summary:
- space-group type = No. 15
- calculated volume (Å³ per atom) = 20.0
- energy relative to the elements, uncorrected (meV/atom) = -2174
- VASP energy (eV per atom) = -7.27

***

No. 2
Density functional theory data (PBE) for TaTc2BiC after structural relaxation.

a = 4.9307 Å, b = 4.0716 Å, c = 4.9307 Å
α = 90.00°, β = 90.00°, γ = 90.00°
Closest atoms and distances in Å follow each position.
Atoms (fractional coordinates):
Bi: 0.5000 0.5000 0.5000  8 Tc 3.20, 4 C 3.49
Tc: 0.5000 0.0000 0.0000  2 Ta 2.47
Tc: 0.0000 0.0000 0.5000  2 Ta 2.47
C: 0.0000 0.5000 0.0000  2 Ta 2.04
Ta: 0.0000 0.0000 0.0000  2 C 2.04

Summary:
- space-group type = No. 123
- ΔE_f (eV/atom) = 1.619
- calculated volume (Å³ per atom) = 19.8
- VASP energy (eV per atom) = -7.52